# LaZn2CuNi

Crystalline LaZn2CuNi at its relaxed geometry (PBE, the Alexandria database).

Geometry as extended XYZ:
```
5
Lattice="4.553 0.000 0.000 0.000 4.553 0.000 0.000 0.000 4.696" Properties=species:S:1:pos:R:3 pbc="T T T"
La 0.000 0.000 0.000
Zn 0.000 2.276 2.348
Zn 2.276 0.000 2.348
Cu 2.276 2.276 0.000
Ni 2.276 2.276 2.348
```

Summary:
Total moment (μB/cell): 0.00
ρ (g cm⁻³): 6.687
Fermi-level density of states (states/eV/cell): 4.2
Crystal system: tetragonal
Relative energy among the computed polymorphs (meV per atom): 142
DFT formation energy (eV per atom): -0.1222

***

# LaZnCuNi

Crystalline LaZnCuNi at its relaxed geometry (PBE, the Alexandria database).

Geometry as extended XYZ:
```
4
Lattice="2.140 1.235 4.791 -2.140 1.235 4.791 0.000 -2.471 4.791" Properties=species:S:1:pos:R:3 pbc="T T T"
La 0.000 0.000 0.000
Zn 0.000 0.000 7.087
Cu 0.000 0.000 2.873
Ni 0.000 0.000 11.534
```

Summary:
Total moment (μB/cell): 0.00
ρ (g cm⁻³): 7.136
Fermi-level density of states (states/eV/cell): 2.5
Crystal system: trigonal
DFT formation energy (eV per atom): -0.3101

***

# La2ZnCu2Ni5

Crystalline La2ZnCu2Ni5 at its relaxed geometry (PBE, the Alexandria database).

Geometry as extended XYZ:
```
20
Lattice="9.187 0.000 0.000 0.000 9.187 0.000 0.000 0.000 3.725" Properties=species:S:1:pos:R:3 pbc="T T T"
La 1.684 2.909 0.000
La 2.909 7.503 0.000
La 6.278 1.684 0.000
La 7.503 6.278 0.000
Zn 0.000 0.000 0.000
Zn 4.594 4.594 0.000
Cu 1.059 5.653 0.000
Cu 3.534 1.059 0.000
Cu 5.653 8.128 0.000
Cu 8.128 3.534 0.000
Ni 0.000 4.594 1.863
Ni 0.506 7.310 1.863
Ni 1.877 0.506 1.863
Ni 2.717 5.100 1.863
Ni 4.087 2.717 1.863
Ni 4.594 0.000 1.863
Ni 5.100 6.470 1.863
Ni 6.470 4.087 1.863
Ni 7.310 8.681 1.863
Ni 8.681 1.877 1.863
```

Summary:
Total moment (μB/cell): 0.00
ρ (g cm⁻³): 8.067
Fermi-level density of states (states/eV/cell): 8.8
Crystal system: tetragonal
DFT formation energy (eV per atom): -0.1483